No. 1
{
  "formula": "ScCuPd",
  "functional": "GGA-PBE",
  "state": "optimized geometry",
  "cell": [[-3.454, 1.373, 2.178], [0.282, -4.928, -0.706], [2.609, -0.487, 4.444]],
  "species": ["Sc", "Sc", "Cu", "Cu", "Pd", "Pd"],
  "frac_coords": [[0.207, 0.414, 0.750], [0.793, 0.586, 0.250], [0.500, 0.000, 0.500], [0.500, 0.000, 0.000], [0.099, 0.199, 0.250], [0.901, 0.801, 0.750]],
  "e_above_lowest_polymorph_ev_per_fu": 0.00,
  "sg": "Cmcm (63)"
}

No. 2
{
  "formula": "Ac3Pr6Th",
  "functional": "GGA-PBE",
  "state": "optimized geometry",
  "cell": [[3.710, 0.000, 0.000], [0.000, 12.906, -5.276], [0.000, 0.063, 16.171]],
  "species": ["Ac", "Ac", "Ac", "Ac", "Ac", "Ac", "Pr", "Pr", "Pr", "Pr", "Pr", "Pr", "Pr", "Pr", "Pr", "Pr", "Pr", "Pr", "Th", "Th"],
  "frac_coords": [[0.750, 0.530, 0.908], [0.250, 0.470, 0.092], [0.750, 0.624, 0.497], [0.250, 0.376, 0.503], [0.750, 0.227, 0.110], [0.250, 0.773, 0.890], [0.750, 0.561, 0.699], [0.250, 0.439, 0.301], [0.750, 0.960, 0.105], [0.250, 0.040, 0.895], [0.750, 0.270, 0.898], [0.250, 0.730, 0.102], [0.750, 0.689, 0.294], [0.250, 0.311, 0.706], [0.750, 0.116, 0.492], [0.250, 0.884, 0.508], [0.750, 0.839, 0.709], [0.250, 0.161, 0.291], [0.750, 0.075, 0.698], [0.250, 0.925, 0.302]],
  "sg": "P2_1/m (11)"
}

One value per record, in order, for DFT formation energy: -0.58, 0.11 eV/atom.